Density functional theory data (PBE-GGA) for a relaxed NaCrI2 crystal.

abc: 4.399 4.399 9.489
angles: 76.60 76.60 60.00
Element x y z (fractional)
I 0.109 0.109 0.674
I 0.891 0.891 0.326
Cr 0.500 0.500 0.500
Na 0.000 0.000 0.000

- Formation energy (no corrections): -245 meV per atom
- Space-group type: R-3m
- M_tot: 1.2296 μB/atom